# 1
DFT (GGA-PBE) results for a geometry-optimized Li2CaGaF8 structure.

ΔE_f (raw) = -2.707 eV/atom

Cell lengths 5.823, 5.823, 5.823 Å; angles 110.86, 110.86, 106.73 degrees
Atoms (fractional coordinates):
Li1 0.750 0.250 0.500
Li2 0.500 0.500 0.000
Ca1 0.250 0.750 0.500
Ga1 0.000 0.000 0.000
F1 0.340 0.054 0.286
F2 0.290 0.458 0.168
F3 0.290 0.122 0.832
F4 0.768 0.054 0.714
F5 0.878 0.710 0.168
F6 0.946 0.232 0.286
F7 0.946 0.660 0.714
F8 0.542 0.710 0.832



# 2
DFT (GGA-PBE) results for a geometry-optimized LiCaGaF6 structure.

ΔE_f (raw) = -3.180 eV/atom

Cell lengths 4.925, 5.166, 5.166 Å; angles 120.00, 90.00, 90.00 degrees
Atoms (fractional coordinates):
Li1 0.500 0.667 0.333
Ca1 0.000 0.333 0.667
Ga1 0.500 0.000 0.000
F1 0.719 0.699 0.685
F2 0.719 0.315 0.014
F3 0.719 0.986 0.301
F4 0.281 0.315 0.301
F5 0.281 0.699 0.014
F6 0.281 0.986 0.685



# 3
DFT (GGA-PBE) results for a geometry-optimized LiCaGaF6 structure.

ΔE_f (raw) = -3.181 eV/atom

Cell lengths 5.168, 5.168, 9.851 Å; angles 90.00, 90.00, 120.00 degrees
Atoms (fractional coordinates):
Li1 0.333 0.667 0.250
Li2 0.667 0.333 0.750
Ca1 0.000 0.000 0.000
Ca2 0.000 0.000 0.500
Ga1 0.667 0.333 0.250
Ga2 0.333 0.667 0.750
F1 0.981 0.347 0.140
F2 0.019 0.366 0.640
F3 0.634 0.653 0.640
F4 0.347 0.981 0.640
F5 0.653 0.019 0.360
F6 0.653 0.634 0.140
F7 0.366 0.019 0.140
F8 0.366 0.347 0.360
F9 0.347 0.366 0.860
F10 0.981 0.634 0.360
F11 0.019 0.653 0.860
F12 0.634 0.981 0.860



# 4
DFT (GGA-PBE) results for a geometry-optimized Li2CaGaF structure.

ΔE_f (raw) = -1.210 eV/atom

Cell lengths 4.336, 4.336, 4.750 Å; angles 90.00, 90.00, 90.00 degrees
Atoms (fractional coordinates):
Ca1 0.000 0.000 0.500
Li1 0.000 0.500 0.000
Li2 0.500 0.000 0.000
Ga1 0.500 0.500 0.500
F1 0.000 0.000 0.000



# 5
DFT (GGA-PBE) results for a geometry-optimized CaMgGaF2 structure.

ΔE_f (raw) = -1.743 eV/atom

Cell lengths 4.075, 5.976, 4.075 Å; angles 90.00, 90.00, 90.00 degrees
Atoms (fractional coordinates):
Ca1 0.500 0.500 0.500
Mg1 0.000 0.000 0.000
Ga1 0.000 0.500 0.000
F1 0.000 0.000 0.500
F2 0.500 0.000 0.000



# 6
DFT (GGA-PBE) results for a geometry-optimized CaGaNF2 structure.

ΔE_f (raw) = -1.798 eV/atom
energy above the lowest structure with this stoichiometry = 0.000 eV/atom

Cell lengths 4.117, 4.117, 3.746 Å; angles 90.00, 90.00, 90.00 degrees
Atoms (fractional coordinates):
Ca1 0.500 0.500 0.500
N1 0.000 0.000 0.500
Ga1 0.000 0.000 0.000
F1 0.000 0.500 0.000
F2 0.500 0.000 0.000